Record 1
Entry from Alexandria: a relaxed structure of LaHgPb3 (GGA-PBE).

Cell and atoms, written as POSCAR:
```
LaHgPb3
1.0
7.6576 -0.4467 1.1764
-4.1479 6.4523 -1.1764
-2.6302 -2.4913 6.8627
La Pb Hg
2 6 2
Cartesian
0.8084 -0.2182 5.2469
0.2925 4.1117 1.6158
-0.7813 2.7252 4.5489
-1.4034 1.0750 1.7096
1.8826 1.1685 2.3141
-4.0203 4.6181 1.1375
-2.5363 -0.2775 4.5486
2.5049 2.8194 5.1532
-4.5928 0.9270 6.2735
3.9415 -0.0320 0.5892
```

Values from the calculation:
The energy above the most stable polymorph in this dataset is 0 meV/atom. The calculation puts the calculated formation energy at -0.134 eV per atom.

***

Record 2
Entry from Alexandria: a relaxed structure of LaHgPb (GGA-PBE).

Cell and atoms, written as POSCAR:
```
LaHgPb
1.0
-2.4586 4.1268 -1.3398
-2.4214 -3.7153 2.2812
0.8639 1.7237 3.7244
Pb La Hg
1 1 1
Cartesian
-1.8042 0.1551 3.7887
-2.1768 2.0503 1.0285
0.8287 1.6537 3.5729
```

Values from the calculation:
The calculation puts the calculated formation energy at -0.476 eV per atom.

***

Record 3
Entry from Alexandria: a relaxed structure of La2Hg2Pb (GGA-PBE).

Cell and atoms, written as POSCAR:
```
La2Hg2Pb
1.0
6.9384 1.9623 4.0913
4.1351 5.9070 4.0913
1.6454 1.1693 6.1456
La Hg Pb
2 2 1
Cartesian
9.1036 6.4694 10.7492
3.6153 2.5692 3.5791
7.4555 5.2982 7.8831
5.2634 3.7404 6.4452
0.0000 0.0000 0.0000
```

Values from the calculation:
The energy above the most stable polymorph in this dataset is 53 meV/atom. The calculation puts the calculated formation energy at -0.429 eV per atom.

***

Record 4
Entry from Alexandria: a relaxed structure of LaHg2Pb (GGA-PBE).

Cell and atoms, written as POSCAR:
```
LaHg2Pb
1.0
10.4033 -0.0397 -0.0234
9.7557 3.6133 -0.0234
9.7557 1.7294 3.1727
Hg La Pb
2 1 1
Cartesian
29.8982 5.3002 3.1242
14.9739 2.6545 1.5647
7.4787 1.3258 0.7815
22.4361 3.9773 2.3444
```

Values from the calculation:
The calculation puts the calculated formation energy at -0.167 eV per atom.

***

Record 5
Entry from Alexandria: a relaxed structure of LaHgPb2 (GGA-PBE).

Cell and atoms, written as POSCAR:
```
LaHgPb2
1.0
4.9447 0.0000 0.0000
0.0000 4.9487 0.0000
0.0000 0.0000 4.7308
La Pb Hg
1 2 1
Cartesian
0.0000 2.4744 2.3654
0.0000 0.0000 0.0000
2.4723 2.4744 0.0000
2.4723 0.0000 2.3654
```

Values from the calculation:
The calculation puts the calculated formation energy at -0.447 eV per atom.

***

Record 6
Entry from Alexandria: a relaxed structure of La8Hg2Pb (GGA-PBE).

Cell and atoms, written as POSCAR:
```
La8Hg2Pb
1.0
-5.0797 1.4866 -0.1046
-2.4626 -8.3090 1.5047
4.0016 4.7389 7.0053
La Pb Hg
8 1 2
Cartesian
-1.6942 -5.7165 1.0356
0.0597 0.3628 2.1050
-1.8465 3.6330 7.3698
0.7088 2.7605 4.9223
-3.1499 -1.1341 2.8111
-4.2495 -4.8439 3.4832
-3.6004 -2.4463 6.3004
-0.3908 -0.9493 5.5943
-2.5399 0.7433 -0.0523
-2.3971 1.5514 4.6432
-1.1436 -3.6349 3.7622
```

Values from the calculation:
The energy above the most stable polymorph in this dataset is 41 meV/atom. The calculation puts the calculated formation energy at -0.253 eV per atom.

***

Record 7
Entry from Alexandria: a relaxed structure of La2Hg3Pb3 (GGA-PBE).

Cell and atoms, written as POSCAR:
```
La2Hg3Pb3
1.0
4.9296 0.0000 0.0000
0.0000 4.8574 0.0000
0.0000 0.0000 9.5042
Pb Hg La
3 3 2
Cartesian
2.4648 0.0000 4.7521
0.0000 2.4287 0.0000
0.0000 2.4287 4.7521
2.4648 2.4287 7.1798
2.4648 2.4287 2.3243
2.4648 0.0000 0.0000
0.0000 0.0000 2.3657
0.0000 0.0000 7.1384
```

Values from the calculation:
The calculation puts the calculated formation energy at -0.448 eV per atom.

***

Record 8
Entry from Alexandria: a relaxed structure of La3Hg2Pb (GGA-PBE).

Cell and atoms, written as POSCAR:
```
La3Hg2Pb
1.0
-0.4069 3.7794 0.5921
-3.1284 0.0139 -2.2390
-7.0906 -2.3131 9.8926
Hg La Pb
2 3 1
Cartesian
-7.7426 -0.0525 7.5126
-2.8833 1.5328 0.7330
-4.7832 -1.5604 6.6734
-2.3074 -0.7527 3.2192
0.0000 0.0000 0.0000
-5.3129 0.7401 4.1228
```

Values from the calculation:
The energy above the most stable polymorph in this dataset is 7 meV/atom. The calculation puts the calculated formation energy at -0.523 eV per atom.

***

DOS at the Fermi energy (computed, states/eV per atom): 0.84 0.53 0.81 0.61 0.52 1.26 0.63 1.08